[1]
Compound: TcNi2Hg
Source: Alexandria
Functional: PBE-GGA
Structure: relaxed

```
TcNi2Hg
1.0
-3.2640 -2.6704 -1.0452
-2.5187 -1.6763 3.1182
-4.1147 1.3309 0.4187
Hg Ni Tc
1 2 1
Cartesian
-4.9487 -1.5079 1.2459
0.0000 0.0000 0.0000
-2.4743 -0.7540 0.6229
-7.4230 -2.2619 1.8688
```

Output
ΔH_f (0 K): 215 kJ/mol of formula units
DOS at the Fermi energy: 1.599 states/eV per atom
VASP energy: -5.000 eV/atom
density: 11.91 g cm⁻³
total magnetization: 1.03 μB per formula unit

***

[2]
Compound: TbPr6Sm2Er3
Source: Alexandria
Functional: PBE-GGA
Structure: relaxed

```
TbPr6Sm2Er3
1.0
-2.0334 -3.4763 4.8707
2.4540 -2.8252 -5.0931
10.5385 2.6360 4.9185
Tb Pr Sm Er
1 6 2 3
Cartesian
0.0000 0.0000 0.0000
7.4429 -2.8601 5.1673
2.9812 -4.0677 1.0768
3.5163 -0.8054 -0.4712
8.9369 -2.6433 1.8500
7.9780 0.4022 3.6193
2.0223 -1.0222 2.8462
0.9585 -3.0422 -1.7725
-0.5379 -3.2593 1.5501
6.9756 -1.6157 -0.9737
3.9836 -2.0499 5.6698
5.4796 -1.8328 2.3481
```

Output
ΔH_f (0 K): 15 kJ/mol of formula units
DOS at the Fermi energy: 1.137 states/eV per atom
VASP energy: -4.690 eV/atom
density: 7.39 g cm⁻³
total magnetization: 0.00 μB per formula unit

***

[3]
Compound: MgAl2Cd
Source: Alexandria
Functional: PBE-GGA
Structure: relaxed

```
MgAl2Cd
1.0
4.1023 0.0000 0.0000
0.0000 3.0280 -0.0212
0.0000 2.9417 6.2479
Mg Al Cd
1 2 1
Cartesian
2.0511 4.4726 4.7159
0.0000 3.0374 0.0771
2.0511 1.5033 1.4313
0.0000 2.9692 3.0946
```

Output
ΔH_f (0 K): 20 kJ/mol of formula units
DOS at the Fermi energy: 0.547 states/eV per atom
VASP energy: -2.447 eV/atom
density: 4.07 g cm⁻³
total magnetization: 0.00 μB per formula unit

***

[4]
Compound: Ho3Cd2Pd2
Source: Alexandria
Functional: PBE-GGA
Structure: relaxed

```
Ho3Cd2Pd2
1.0
-0.7024 -2.0171 3.4116
-0.6265 -3.0488 -1.9316
10.4582 -3.6503 2.3695
Ho Cd Pd
3 2 2
Cartesian
2.9595 -2.9121 3.6365
0.0000 0.0000 0.0000
6.7962 -2.7553 2.1447
8.0675 -5.7614 3.0035
1.0617 -2.9548 0.8460
5.2674 -5.0771 2.8316
3.8618 -3.6392 1.0179
```

Output
ΔH_f (0 K): -418 kJ/mol of formula units
DOS at the Fermi energy: 0.635 states/eV per atom
VASP energy: -4.326 eV/atom
density: 9.42 g cm⁻³
total magnetization: 0.00 μB per formula unit